Record 1
Compound: Y4ErBi5
Source: the Open Quantum Materials Database
Functional: PBE
Structure: relaxed

abc: 4.461 4.461 31.543
angles: 90.00 90.00 90.00
Space group I4/mmm (No. 139)
Unique sites:
Y: 0.000 0.000 0.100 x4
Y: 0.000 0.000 0.300 x4
Er: 0.000 0.000 0.500 x2
Bi: 0.000 0.000 0.000 x2
Bi: 0.000 0.000 0.200 x4
Bi: 0.000 0.000 0.401 x4

Total DFT energy (no corrections)   -119.21 eV per cell

=====

Record 2
Compound: AcPaCo
Source: the Open Quantum Materials Database
Functional: PBE
Structure: relaxed

abc: 6.810 6.810 6.810
angles: 90.00 90.00 90.00
Space group F-43m (No. 216)
Unique sites:
Ac: 0.000 0.000 0.000 x4
Pa: 0.000 0.000 0.500 x4
Co: 0.250 0.250 0.250 x4

Energy of formation from the pure elements   0.4350 eV/atom
Total DFT energy (no corrections)   -77.61 eV per cell
Relative energy among the computed polymorphs   0.000 eV per atom

=====

Record 3
Compound: Zn2InAu
Source: the Open Quantum Materials Database
Functional: PBE
Structure: relaxed

abc: 6.687 6.687 6.687
angles: 90.00 90.00 90.00
Space group F-43m (No. 216)
Unique sites:
Zn: 0.000 0.000 0.000 x4
Zn: 0.250 0.250 0.250 x4
In: 0.000 0.000 0.500 x4
Au: 0.250 0.250 0.750 x4

Total DFT energy (no corrections)   -33.49 eV per cell

=====

Record 4
Compound: NiBiB2
Source: the Open Quantum Materials Database
Functional: PBE
Structure: relaxed

abc: 6.078 6.078 6.078
angles: 90.00 90.00 90.00
Space group F-43m (No. 216)
Unique sites:
Ni: 0.000 0.000 0.000 x4
Bi: 0.250 0.250 0.750 x4
B: 0.000 0.000 0.500 x4
B: 0.250 0.250 0.250 x4

Total DFT energy (no corrections)   -65.99 eV per cell

=====

Record 5
Compound: DyHo2Zn3InGa2
Source: the Open Quantum Materials Database
Functional: PBE
Structure: relaxed

abc: 4.382 12.170 7.018
angles: 90.00 90.00 90.00
Space group Amm2 (No. 38)
Unique sites:
Dy: 0.000 0.000 0.000 x2
Ho: 0.000 0.221 0.336 x4
Zn: 0.500 0.000 0.303 x2
Zn: 0.500 0.127 0.684 x4
In: 0.000 0.000 0.556 x2
Ga: 0.500 0.167 0.057 x4

Total DFT energy (no corrections)   -61.90 eV per cell

=====

Record 6
Compound: NaAlGePt
Source: the Open Quantum Materials Database
Functional: PBE
Structure: relaxed

abc: 6.510 6.510 6.510
angles: 90.00 90.00 90.00
Space group F-43m (No. 216)
Unique sites:
Na: 0.000 0.000 0.000 x4
Al: 0.250 0.250 0.750 x4
Ge: 0.000 0.000 0.500 x4
Pt: 0.250 0.250 0.250 x4

Total DFT energy (no corrections)   -63.12 eV per cell
Relative energy among the computed polymorphs   0.261 eV per atom